# PBE Li5Ga3F12, optimized geometry
# Fermi-level density of states (states/eV per atom): 0.100
# Formation energy without anion corrections (eV/atom): -2.47
data_Li5Ga3F12
_symmetry_space_group_name_H-M 'I a -3 d'
_symmetry_Int_Tables_number 230
_symmetry_space_group_name_Hall '-I 4bd 2c 3'
_cell_length_a 11.9807
_cell_length_b 11.9807
_cell_length_c 11.9807
_cell_angle_alpha 90.00
_cell_angle_beta 90.00
_cell_angle_gamma 90.00
loop_
_atom_site_label
_atom_site_type_symbol
_atom_site_fract_x
_atom_site_fract_y
_atom_site_fract_z
_atom_site_occupancy
Li1 Li 0.0000 0.0000 0.0000 1
Li2 Li 0.0000 0.2500 0.3750 1
Ga1 Ga 0.0000 0.2500 0.1250 1
F1 F 0.0219 0.0645 0.6553 1

=====

# PBE SiTePd, optimized geometry
# Fermi-level density of states (states/eV per atom): 0.193
# Distance to the lowest polymorph of the same formula (eV per formula unit): 0.276
# Formation energy without anion corrections (eV/atom): -0.12
data_SiTePd
_symmetry_space_group_name_H-M 'C 1 m 1'
_symmetry_Int_Tables_number 8
_cell_length_a 7.4908
_cell_length_b 3.1401
_cell_length_c 6.2296
_cell_angle_alpha 90.00
_cell_angle_beta 115.89
_cell_angle_gamma 90.00
loop_
_symmetry_equiv_pos_as_xyz
'x,y,z'
'x,-y,z'
'x+1/2,y+1/2,z'
'x+1/2,-y+1/2,z'
loop_
_atom_site_label
_atom_site_type_symbol
_atom_site_fract_x
_atom_site_fract_y
_atom_site_fract_z
_atom_site_occupancy
Si1 Si 0.0000 0.0000 0.0000 1
Te1 Te 0.2221 0.0000 0.4757 1
Pd1 Pd 0.1288 0.5000 0.8069 1

=====

| no. | final energy (eV per atom) |
| --- | --- |
| 1 | -4.53 |
| 2 | -4.70 |